--- A ---
# PHF2 (PBE, relaxed)
# Spin magnetization (μB per formula unit): 0.0
data_PHF2
_cell_length_a 4.523
_cell_length_b 6.581
_cell_length_c 8.183
_cell_angle_alpha 90.00
_cell_angle_beta 90.00
_cell_angle_gamma 90.00
_symmetry_space_group_name_H-M 'P 21 21 21'
_symmetry_Int_Tables_number 19
loop_
_symmetry_equiv_pos_as_xyz
'x,y,z'
'-x+1/2,-y,z+1/2'
'x+1/2,-y+1/2,-z'
'-x,y+1/2,-z+1/2'
loop_
_atom_site_label
_atom_site_type_symbol
_atom_site_fract_x
_atom_site_fract_y
_atom_site_fract_z
P1 P 0.225 0.098 0.069
H1 H 0.013 0.964 0.998
F1 F 0.052 0.078 0.632
F2 F 0.055 0.133 0.240

--- B ---
# PHF2 (PBE, relaxed)
# Spin magnetization (μB per formula unit): 0.0
data_PHF2
_cell_length_a 4.506
_cell_length_b 4.506
_cell_length_c 7.245
_cell_angle_alpha 90.00
_cell_angle_beta 90.00
_cell_angle_gamma 90.00
_symmetry_space_group_name_H-M 'I -4 2 d'
_symmetry_Int_Tables_number 122
_symmetry_space_group_name_Hall 'I -4 2bw'
loop_
_atom_site_label
_atom_site_type_symbol
_atom_site_fract_x
_atom_site_fract_y
_atom_site_fract_z
P1 P 0.000 0.000 0.000
H1 H 0.000 0.000 0.500
F1 F 0.075 0.750 0.625

--- C ---
# PHF2 (PBE, relaxed)
# Spin magnetization (μB per formula unit): 0.0
data_PHF2
_cell_length_a 2.7469
_cell_length_b 2.7469
_cell_length_c 18.3786
_cell_angle_alpha 90.00
_cell_angle_beta 90.00
_cell_angle_gamma 120.00
_symmetry_space_group_name_H-M 'R -3 m'
_symmetry_Int_Tables_number 166
_symmetry_space_group_name_Hall '-R 3 2"'
loop_
_atom_site_label
_atom_site_type_symbol
_atom_site_fract_x
_atom_site_fract_y
_atom_site_fract_z
P1 P 0.0000 0.0000 0.0000
H1 H 0.0000 0.0000 0.5000
F1 F 0.0000 0.0000 0.4375

--- D ---
# PHF2 (PBE, relaxed)
# Spin magnetization (μB per formula unit): 0.0
data_PHF2
_cell_length_a 2.6827
_cell_length_b 2.6827
_cell_length_c 17.4022
_cell_angle_alpha 90.00
_cell_angle_beta 90.00
_cell_angle_gamma 120.00
_symmetry_space_group_name_H-M 'R -3 m'
_symmetry_Int_Tables_number 166
_symmetry_space_group_name_Hall '-R 3 2"'
loop_
_atom_site_label
_atom_site_type_symbol
_atom_site_fract_x
_atom_site_fract_y
_atom_site_fract_z
P1 P 0.0000 0.0000 0.0000
H1 H 0.0000 0.0000 0.5000
F1 F 0.0000 0.0000 0.1102

Short version: B is the least stable of them.